1.
Computed, not measured: a relaxed NaLi5Tl2 crystal at the GGA-PBE level of DFT.

Lattice parameters (Å, degrees): 5.914 11.674 4.793 90.00 90.00 90.00
Fractional positions:
Na 0.000 0.000 0.000
Na 0.500 0.500 0.000
Li 0.000 0.500 0.000
Li 0.097 0.254 0.000
Li 0.183 0.871 0.500
Li 0.317 0.371 0.500
Li 0.403 0.754 0.000
Li 0.500 0.000 0.000
Li 0.597 0.246 0.000
Li 0.683 0.629 0.500
Li 0.817 0.129 0.500
Li 0.903 0.746 0.000
Tl 0.172 0.625 0.500
Tl 0.328 0.125 0.500
Tl 0.672 0.875 0.500
Tl 0.828 0.375 0.500

Properties
energy of formation = -140.9 meV per atom
space group = Pbam

---

2.
Computed, not measured: a relaxed Na3Li2Tl8 crystal at the GGA-PBE level of DFT.

Lattice parameters (Å, degrees): 9.286 9.286 4.897 90.00 90.00 119.29
Fractional positions:
Na 0.000 0.000 0.000
Na 0.298 0.298 0.500
Na 0.702 0.702 0.500
Li 0.231 0.769 0.000
Li 0.769 0.231 0.000
Tl 0.123 0.414 0.000
Tl 0.129 0.871 0.500
Tl 0.329 0.671 0.500
Tl 0.414 0.123 0.000
Tl 0.586 0.877 0.000
Tl 0.671 0.329 0.500
Tl 0.871 0.129 0.500
Tl 0.877 0.586 0.000

Properties
energy of formation = -42.3 meV per atom
space group = Cmmm

---

3.
Computed, not measured: a relaxed Na4LiTl7 crystal at the GGA-PBE level of DFT.

Lattice parameters (Å, degrees): 5.341 5.341 13.380 90.00 90.00 120.00
Fractional positions:
Na 0.333 0.667 0.167
Na 0.333 0.667 0.419
Na 0.667 0.333 0.581
Na 0.667 0.333 0.833
Li 0.000 0.000 0.000
Tl 0.000 0.000 0.239
Tl 0.000 0.000 0.500
Tl 0.000 0.000 0.761
Tl 0.333 0.667 0.672
Tl 0.333 0.667 0.932
Tl 0.667 0.333 0.068
Tl 0.667 0.333 0.328

Properties
energy of formation = -100.1 meV per atom
space group = P-3m1

---

Q: energy of formation of number 2 (Na3Li2Tl8)?
A: -42.3 meV per atom

---

Q: What is the formula in the first record?
A: NaLi5Tl2

---

Please write out number 2 again, unchanged.
Computed, not measured: a relaxed Na3Li2Tl8 crystal at the GGA-PBE level of DFT.

Lattice parameters (Å, degrees): 9.286 9.286 4.897 90.00 90.00 119.29
Fractional positions:
Na 0.000 0.000 0.000
Na 0.298 0.298 0.500
Na 0.702 0.702 0.500
Li 0.231 0.769 0.000
Li 0.769 0.231 0.000
Tl 0.123 0.414 0.000
Tl 0.129 0.871 0.500
Tl 0.329 0.671 0.500
Tl 0.414 0.123 0.000
Tl 0.586 0.877 0.000
Tl 0.671 0.329 0.500
Tl 0.871 0.129 0.500
Tl 0.877 0.586 0.000

Properties
energy of formation = -42.3 meV per atom
space group = Cmmm